This record from Alexandria via LeMat-Bulk describes crystalline Sr5LaTe6 at its relaxed geometry. The functional is PBE.

Total moment, μB per atom: 0.01
Formation energy from raw total energies, meV/atom: -1697

Unit cell a=8.145 b=8.144 c=8.142 alpha=59.99 beta=80.40 gamma=70.53
Fractional coordinates of all 12 atoms:
Sr: 0.500 0.168 0.663
Sr: 0.000 0.334 0.333
Sr: 0.500 0.500 0.000
Sr: 0.000 0.666 0.667
Sr: 0.500 0.832 0.337
Te: 0.754 0.082 0.327
Te: 0.246 0.591 0.327
Te: 0.247 0.244 0.000
Te: 0.753 0.756 0.000
Te: 0.754 0.409 0.673
Te: 0.246 0.918 0.673
La: 0.000 0.000 0.000

---

This record from Alexandria via LeMat-Bulk describes crystalline Sr2LaTe at its relaxed geometry. The functional is PBE.

Total moment, μB per atom: 0.32
Formation energy from raw total energies, meV/atom: -587

Unit cell a=4.389 b=4.664 c=8.761 alpha=74.56 beta=90.00 gamma=90.00
Fractional coordinates of all 4 atoms:
La: 0.500 0.572 0.731
Sr: 0.000 0.934 0.007
Sr: 0.500 0.276 0.323
Te: 0.000 0.718 0.439

---

This record from Alexandria via LeMat-Bulk describes crystalline SrLa3Te at its relaxed geometry. The functional is PBE.

Excess energy over the best structure of this formula in the dataset, meV/atom: 936
Total moment, μB per atom: 0.00
Formation energy from raw total energies, meV/atom: 618

Unit cell a=5.830 b=5.830 c=5.830 alpha=90.00 beta=90.00 gamma=90.00
Fractional coordinates of all 5 atoms:
Sr: 0.000 0.000 0.000
Te: 0.500 0.500 0.500
La: 0.000 0.500 0.000
La: 0.000 0.000 0.500
La: 0.500 0.000 0.000

---

This record from Alexandria via LeMat-Bulk describes crystalline SrLa4Te5 at its relaxed geometry. The functional is PBE.

Total moment, μB per atom: 0.00
Formation energy from raw total energies, meV/atom: -1612

Unit cell a=4.601 b=4.601 c=16.645 alpha=97.94 beta=97.94 gamma=90.00
Fractional coordinates of all 10 atoms:
Sr: 0.000 0.000 0.000
La: 0.398 0.398 0.796
La: 0.799 0.799 0.599
La: 0.201 0.201 0.401
La: 0.602 0.602 0.204
Te: 0.101 0.101 0.201
Te: 0.500 0.500 0.000
Te: 0.899 0.899 0.799
Te: 0.300 0.300 0.599
Te: 0.700 0.700 0.401

---

This record from Alexandria via LeMat-Bulk describes crystalline SrLaTe4 at its relaxed geometry. The functional is PBE.

Total moment, μB per atom: 0.03
Formation energy from raw total energies, meV/atom: -337

Unit cell a=6.561 b=6.561 c=6.561 alpha=60.00 beta=60.00 gamma=60.00
Fractional coordinates of all 6 atoms:
Sr: 0.000 0.000 0.000
La: 0.750 0.750 0.750
Te: 0.874 0.375 0.375
Te: 0.375 0.375 0.874
Te: 0.375 0.874 0.375
Te: 0.375 0.375 0.375

---

This record from Alexandria via LeMat-Bulk describes crystalline Sr2LaTe at its relaxed geometry. The functional is PBE.

Total moment, μB per atom: 0.03
Formation energy from raw total energies, meV/atom: -394

Unit cell a=10.547 b=10.547 c=8.151 alpha=49.69 beta=49.69 gamma=90.00
Fractional coordinates of all 8 atoms:
Sr: 0.538 0.125 0.250
Sr: 0.212 0.625 0.250
Sr: 0.375 0.462 0.750
Sr: 0.875 0.788 0.750
Te: 0.500 0.500 0.000
Te: 0.250 0.750 0.500
La: 0.000 0.000 0.000
La: 0.750 0.250 0.500

---

This record from Alexandria via LeMat-Bulk describes crystalline SrLaTe3 at its relaxed geometry. The functional is PBE.

Excess energy over the best structure of this formula in the dataset, meV/atom: 448
Total moment, μB per atom: 0.00
Formation energy from raw total energies, meV/atom: -503

Unit cell a=5.929 b=5.929 c=5.929 alpha=90.00 beta=90.00 gamma=90.00
Fractional coordinates of all 5 atoms:
Sr: 0.000 0.000 0.000
Te: 0.000 0.500 0.000
Te: 0.000 0.000 0.500
Te: 0.500 0.000 0.000
La: 0.500 0.500 0.500

---

This record from Alexandria via LeMat-Bulk describes crystalline Sr2LaTe at its relaxed geometry. The functional is PBE.

Total moment, μB per atom: 0.00
Formation energy from raw total energies, meV/atom: -616

Unit cell a=4.044 b=4.044 c=9.908 alpha=90.00 beta=90.00 gamma=90.00
Fractional coordinates of all 4 atoms:
La: 0.500 0.500 0.750
Sr: 0.000 0.000 0.054
Sr: 0.000 0.000 0.446
Te: 0.500 0.500 0.250

---

This record from Alexandria via LeMat-Bulk describes crystalline SrLa5Te6 at its relaxed geometry. The functional is PBE.

Total moment, μB per atom: 0.00
Formation energy from raw total energies, meV/atom: -1602

Unit cell a=7.979 b=7.958 c=7.969 alpha=60.04 beta=80.42 gamma=70.54
Fractional coordinates of all 12 atoms:
Sr: 0.000 0.000 0.000
Te: 0.748 0.084 0.334
Te: 0.252 0.582 0.334
Te: 0.249 0.251 0.000
Te: 0.751 0.749 0.000
Te: 0.748 0.418 0.666
Te: 0.252 0.916 0.666
La: 0.500 0.165 0.670
La: 0.000 0.333 0.334
La: 0.500 0.500 0.000
La: 0.000 0.667 0.666
La: 0.500 0.835 0.330

---

This record from Alexandria via LeMat-Bulk describes crystalline Sr2LaTe at its relaxed geometry. The functional is PBE.

Total moment, μB per atom: 0.15
Formation energy from raw total energies, meV/atom: -574

Unit cell a=7.518 b=7.518 c=7.518 alpha=147.91 beta=132.53 gamma=58.45
Fractional coordinates of all 4 atoms:
La: 0.304 0.804 0.500
Sr: 0.002 0.002 0.000
Sr: 0.700 0.200 0.500
Te: 0.495 0.495 0.000